Compound: Zr6C5
Source: OQMD
Functional: PBE
Structure: relaxed

Values from the calculation:
**Total energy**: -9.6558 eV/atom
**SG**: C2/c, No. 15
**V**: 158 Å³/f.u.

Geometry as POSCAR:
```
Zr6C5
1.0
2.893 -5.014 0.000
2.893 5.014 0.000
-1.942 0.000 10.921
Zr C
12 10
direct
0.779 0.960 0.381 Zr
0.306 0.474 0.877 Zr
0.874 0.389 0.623 Zr
0.040 0.221 0.119 Zr
0.221 0.040 0.619 Zr
0.694 0.526 0.123 Zr
0.611 0.126 0.877 Zr
0.474 0.306 0.377 Zr
0.126 0.611 0.377 Zr
0.389 0.874 0.123 Zr
0.960 0.779 0.881 Zr
0.526 0.694 0.623 Zr
0.336 0.168 0.000 C
0.583 0.417 0.750 C
0.168 0.336 0.500 C
0.417 0.583 0.250 C
0.750 0.250 0.250 C
0.832 0.664 0.500 C
0.500 0.000 0.500 C
0.664 0.832 0.000 C
0.250 0.750 0.750 C
0.000 0.500 0.000 C
```